(1)
## LaTb2Ce (GGA-PBE)

Data for a relaxed LaTb2Ce crystal.

```
4
Lattice="-4.247 0.855 2.519 -0.319 -4.968 1.149 2.694 0.814 4.264" Properties=species:S:1:pos:R:3 pbc="T T T"
Tb 1.347 0.407 2.132
Tb -0.159 -2.484 0.575
Ce -2.123 0.428 1.260
La -0.936 -1.650 3.966
```

Calculated values
Its space group is No. 123. As for the final energy: -19.801 eV per cell. The value obtained for the formation energy is 0.08 eV/atom.

---

(2)
## Cr4SnS8 (GGA-PBE)

Data for a relaxed Cr4SnS8 crystal.

```
13
Lattice="-0.150 6.141 -2.935 -5.821 2.389 -2.600 -3.231 5.155 3.056" Properties=species:S:1:pos:R:3 pbc="T T T"
Cr -3.310 8.476 -2.629
Cr -6.715 6.223 -2.429
Cr -5.160 7.884 0.968
Cr -3.220 4.788 -0.867
Sn -6.901 10.264 -1.859
S -1.201 4.812 -1.803
S -4.100 2.894 -1.632
S -2.776 4.308 1.260
S -1.124 1.672 -0.303
S -5.515 5.687 -0.256
S -3.105 7.281 -0.398
S -4.205 6.106 -2.801
S -5.578 8.296 -1.503
```

Calculated values
Its space group is No. 216. As for the final energy: -83.227 eV per cell.

---

(3)
## LiNiAg3 (GGA-PBE)

Data for a relaxed LiNiAg3 crystal.

```
5
Lattice="4.832 0.000 0.000 0.000 4.832 0.000 0.000 0.000 4.832" Properties=species:S:1:pos:R:3 pbc="T T T"
Ni 0.000 0.000 0.000
Ag 0.000 2.416 0.000
Ag 0.000 0.000 2.416
Ag 2.416 0.000 0.000
Li 2.416 2.416 2.416
```

Calculated values
Its space group is No. 221. As for the final energy: -13.709 eV per cell. The value obtained for the formation energy is 0.51 eV/atom.

---

(4)
## Cr2PbCl (GGA-PBE)

Data for a relaxed Cr2PbCl crystal.

```
4
Lattice="-9.021 -1.919 2.999 -7.395 -3.849 4.955 -7.796 -0.774 5.716" Properties=species:S:1:pos:R:3 pbc="T T T"
Pb -12.438 -3.361 7.022
Cr -24.109 -6.514 13.611
Cr -6.535 -1.766 3.689
Cl -17.449 -4.714 9.851
```

Calculated values
Its space group is No. 160. As for the final energy: -24.176 eV per cell.

---

(5)
## ThMgAg3 (GGA-PBE)

Data for a relaxed ThMgAg3 crystal.

```
10
Lattice="-3.136 -1.248 3.485 2.448 -1.239 1.759 0.640 12.949 5.213" Properties=species:S:1:pos:R:3 pbc="T T T"
Th -0.494 1.604 1.818
Th 0.446 8.857 8.639
Mg 1.508 6.134 5.242
Mg -1.556 4.328 5.215
Ag 0.598 8.829 5.388
Ag -0.646 1.633 5.069
Ag 0.983 11.376 6.647
Ag -1.031 -0.914 3.810
Ag -1.178 6.830 6.451
Ag 1.130 3.632 4.006
```

Calculated values
Its space group is No. 63. As for the final energy: -36.493 eV per cell. The value obtained for the formation energy is -0.14 eV/atom.

---

(6)
## Cu5Re (GGA-PBE)

Data for a relaxed Cu5Re crystal.

```
6
Lattice="0.000 3.358 3.358 3.358 0.000 3.358 3.358 3.358 0.000" Properties=species:S:1:pos:R:3 pbc="T T T"
Cu 4.198 2.518 4.198
Cu 5.037 5.037 5.037
Cu 2.518 4.198 4.198
Cu 4.198 4.198 2.518
Cu 2.518 2.518 2.518
Re 0.000 0.000 0.000
```

Calculated values
Its space group is No. 216. As for the final energy: -30.413 eV per cell. The value obtained for the formation energy is 0.42 eV/atom.

---

(7)
## PRu2W (GGA-PBE)

Data for a relaxed PRu2W crystal.

```
4
Lattice="-1.843 0.893 3.785 -3.070 -2.581 1.561 0.808 -2.478 3.424" Properties=species:S:1:pos:R:3 pbc="T T T"
P -2.052 -2.083 4.385
Ru 0.000 0.000 0.000
Ru -1.026 -1.042 2.192
W -3.079 -3.125 6.577
```

Calculated values
Its space group is No. 216. As for the final energy: -36.015 eV per cell. The value obtained for the formation energy is 0.23 eV/atom.

---

(8)
## RbSiSb (GGA-PBE)

Data for a relaxed RbSiSb crystal.

```
6
Lattice="-0.008 1.719 4.670 -5.882 -2.902 2.650 1.983 -5.721 3.719" Properties=species:S:1:pos:R:3 pbc="T T T"
Sb -2.871 -6.473 4.781
Sb -1.035 -0.431 6.258
Si -0.762 -5.479 8.166
Si -3.144 -1.424 2.873
Rb 0.208 -3.980 4.901
Rb -4.114 -2.923 6.138
```

Calculated values
Its space group is No. 2. As for the final energy: -21.725 eV per cell.

---

(9)
## Tm5TaN6 (GGA-PBE)

Data for a relaxed Tm5TaN6 crystal.

```
12
Lattice="5.704 0.143 0.869 1.405 4.846 2.825 0.098 0.056 5.774" Properties=species:S:1:pos:R:3 pbc="T T T"
N 4.493 0.511 2.706
N 2.236 2.985 3.736
N 1.701 1.177 0.875
N 5.409 3.812 2.819
N 4.972 2.059 5.731
N 2.715 4.533 6.761
Tm 3.152 0.916 4.754
Tm 0.501 1.634 2.866
Tm 3.555 2.494 1.847
Tm 1.002 3.268 5.733
Tm 4.056 4.128 4.713
Ta 0.000 0.000 0.000
```

Calculated values
Its space group is No. 12. As for the final energy: -104.816 eV per cell.